[1]
VASP calculation (PBE-GGA) on a relaxed structure of SrHgAsO.

a = 3.924 Å, b = 8.282 Å, c = 6.346 Å
α = 90.00°, β = 90.00°, γ = 90.00°
Sites, in units of the cell vectors:
1 Sr 0.000 0.237 0.000
2 Sr 0.000 0.763 0.500
3 Hg 0.500 0.362 0.518
4 Hg 0.500 0.638 0.018
5 As 0.000 0.149 0.500
6 As 0.000 0.851 0.000
7 O 0.500 0.382 0.967
8 O 0.500 0.618 0.467

Computed properties:
Distance to the lowest polymorph of the same formula = 0.095 eV/atom

***

[2]
VASP calculation (PBE-GGA) on a relaxed structure of AlReSiH6.

a = 4.420 Å, b = 4.420 Å, c = 4.420 Å
α = 60.00°, β = 60.00°, γ = 60.00°
Sites, in units of the cell vectors:
1 Al 0.000 0.000 0.000
2 Re 0.250 0.250 0.250
3 Si 0.750 0.750 0.750
4 H 0.281 0.281 0.719
5 H 0.281 0.719 0.281
6 H 0.281 0.719 0.719
7 H 0.719 0.281 0.281
8 H 0.719 0.281 0.719
9 H 0.719 0.719 0.281

Computed properties:
Electronic total energy = -4.006 eV per atom

***

[3]
VASP calculation (PBE-GGA) on a relaxed structure of HfGaTe2.

a = 5.143 Å, b = 5.143 Å, c = 5.143 Å
α = 60.00°, β = 60.00°, γ = 60.00°
Sites, in units of the cell vectors:
1 Hf 0.000 0.000 0.000
2 Ga 0.750 0.750 0.750
3 Te 0.250 0.250 0.250
4 Te 0.500 0.500 0.500

Computed properties:
Electronic total energy = -4.591 eV per atom

***

[4]
VASP calculation (PBE-GGA) on a relaxed structure of AsPAuO.

a = 3.911 Å, b = 6.145 Å, c = 5.970 Å
α = 90.00°, β = 90.00°, γ = 90.00°
Sites, in units of the cell vectors:
1 As 0.000 0.213 0.000
2 As 0.000 0.787 0.500
3 P 0.000 0.164 0.399
4 P 0.000 0.836 0.899
5 Au 0.500 0.320 0.528
6 Au 0.500 0.680 0.028
7 O 0.500 0.280 0.962
8 O 0.500 0.720 0.462

Computed properties:
Distance to the lowest polymorph of the same formula = 0.078 eV/atom

***

[5]
VASP calculation (PBE-GGA) on a relaxed structure of YScCd6.

a = 5.004 Å, b = 5.004 Å, c = 7.108 Å
α = 90.00°, β = 90.00°, γ = 90.00°
Sites, in units of the cell vectors:
1 Y 0.000 0.000 0.000
2 Sc 0.500 0.500 0.500
3 Cd 0.000 0.000 0.500
4 Cd 0.000 0.500 0.261
5 Cd 0.000 0.500 0.739
6 Cd 0.500 0.000 0.261
7 Cd 0.500 0.000 0.739
8 Cd 0.500 0.500 0.000

Computed properties:
Distance to the lowest polymorph of the same formula = 0.012 eV/atom

***

[6]
VASP calculation (PBE-GGA) on a relaxed structure of ErTm6Pb2.

a = 6.264 Å, b = 6.264 Å, c = 10.616 Å
α = 98.00°, β = 98.00°, γ = 43.46°
Sites, in units of the cell vectors:
1 Er 0.000 0.000 0.000
2 Tm 0.293 0.293 0.899
3 Tm 0.357 0.357 0.524
4 Tm 0.424 0.424 0.219
5 Tm 0.576 0.576 0.781
6 Tm 0.643 0.643 0.476
7 Tm 0.707 0.707 0.101
8 Pb 0.137 0.137 0.284
9 Pb 0.863 0.863 0.716

Computed properties:
Electronic total energy = -4.338 eV per atom

***

Number 1: calculated density 6.1 g/cm3. Number 2: calculated density 6.7 g/cm3. Number 3: calculated density 8.7 g/cm3. Number 4: calculated density 7.4 g/cm3. Number 5: calculated density 7.5 g/cm3. Number 6: calculated density 9.4 g/cm3.